Entry from Alexandria via LeMat-Bulk: crystalline CuReAs2 at its relaxed geometry (PBE-GGA).

Structure (POSCAR):
```
CuReAs2
1.0
-5.731 3.435 -3.727
-7.023 2.893 -0.914
-5.219 5.428 -1.352
As Re Cu
2 1 1
direct
0.002 0.002 0.002 As
0.498 0.498 0.498 As
0.750 0.750 0.750 Re
0.250 0.250 0.250 Cu
```

- energy of formation (eV/atom) = 0.170